# SrAlGe2, relaxed, DFT PBE
# Mass density in g cm⁻³: 3.87
# ΔH_f (0 K) in eV/atom: -0.17
data_SrAlGe2
_space_group_name_H-M_alt 'I -4 2 d'
_space_group_IT_number 122
_space_group_name_Hall 'I -4 2bw'
_cell_length_a 5.2252
_cell_length_b 5.2252
_cell_length_c 16.3523
_cell_angle_alpha 90.00
_cell_angle_beta 90.00
_cell_angle_gamma 90.00
loop_
_atom_site_label
_atom_site_fract_x
_atom_site_fract_y
_atom_site_fract_z
Sr1 0.0000 0.0000 0.0000
Al1 0.0000 0.0000 0.5000
Ge1 0.1129 0.2500 0.6250

=====

# LaMnSb2Te, relaxed, DFT PBE
# Mass density in g cm⁻³: 6.61
# E in eV/cell: -27.077
data_LaMnSb2Te
_space_group_name_H-M_alt 'P 4/m m m'
_space_group_IT_number 123
_space_group_name_Hall '-P 4 2'
_cell_length_a 5.1201
_cell_length_b 5.1201
_cell_length_c 5.4107
_cell_angle_alpha 90.00
_cell_angle_beta 90.00
_cell_angle_gamma 90.00
loop_
_atom_site_label
_atom_site_fract_x
_atom_site_fract_y
_atom_site_fract_z
La1 0.0000 0.0000 0.0000
Mn1 0.5000 0.5000 0.5000
Sb1 0.0000 0.5000 0.5000
Te1 0.5000 0.5000 0.0000

=====

# Na3CuRh3Se8, relaxed, DFT PBE
# Mass density in g cm⁻³: 5.35
# E in eV/cell: -197.979
data_Na3CuRh3Se8
_space_group_name_H-M_alt 'R -3 m'
_space_group_IT_number 166
_space_group_name_Hall '-R 3 2"'
_cell_length_a 7.5542
_cell_length_b 7.5542
_cell_length_c 20.2196
_cell_angle_alpha 90.00
_cell_angle_beta 90.00
_cell_angle_gamma 120.00
loop_
_atom_site_label
_atom_site_fract_x
_atom_site_fract_y
_atom_site_fract_z
Na1 0.0000 0.5000 0.0000
Cu1 0.0000 0.0000 0.5000
Rh1 0.0000 0.5000 0.5000
Se1 0.0000 0.0000 0.2299
Se2 0.0032 0.5016 0.7711

=====

# Mg2BeZnAu6, relaxed, DFT PBE
# Mass density in g cm⁻³: 10.29
# ΔH_f (0 K) in eV/atom: -0.23
data_Mg2BeZnAu6
_space_group_name_H-M_alt 'P -1'
_space_group_IT_number 2
_cell_length_a 5.5799
_cell_length_b 5.6396
_cell_length_c 8.2747
_cell_angle_alpha 71.26
_cell_angle_beta 71.16
_cell_angle_gamma 60.67
loop_
_space_group_symop_operation_xyz
'x,y,z'
'-x,-y,-z'
loop_
_atom_site_label
_atom_site_fract_x
_atom_site_fract_y
_atom_site_fract_z
Mg1 0.2053 0.2003 0.3904
Be1 0.5000 0.5000 0.5000
Zn1 0.0000 0.0000 0.0000
Au1 0.2387 0.7381 0.2792
Au2 0.2576 0.2632 0.7210
Au3 0.2585 0.7653 0.7196

=====

# ScPBr2, relaxed, DFT PBE
# Mass density in g cm⁻³: 4.52
# Relative energy among the computed polymorphs in eV/atom: 0.856
data_ScPBr2
_space_group_name_H-M_alt 'F -4 3 m'
_space_group_IT_number 216
_space_group_name_Hall 'F -4 2 3'
_cell_length_a 7.0228
_cell_length_b 7.0228
_cell_length_c 7.0228
_cell_angle_alpha 90.00
_cell_angle_beta 90.00
_cell_angle_gamma 90.00
loop_
_atom_site_label
_atom_site_fract_x
_atom_site_fract_y
_atom_site_fract_z
Sc1 0.0000 0.0000 0.0000
P1 0.2500 0.2500 0.7500
Br1 0.0000 0.0000 0.5000
Br2 0.2500 0.2500 0.2500

=====

# TbSmHo5, relaxed, DFT PBE
# Mass density in g cm⁻³: 6.41
# ΔH_f (0 K) in eV/atom: 1.11
# Relative energy among the computed polymorphs in eV/atom: 0.915
data_TbSmHo5
_space_group_name_H-M_alt 'I m m m'
_space_group_IT_number 71
_space_group_name_Hall '-I 2 2'
_cell_length_a 5.7555
_cell_length_b 8.5885
_cell_length_c 11.8805
_cell_angle_alpha 90.00
_cell_angle_beta 90.00
_cell_angle_gamma 90.00
loop_
_atom_site_label
_atom_site_fract_x
_atom_site_fract_y
_atom_site_fract_z
Tb1 0.0000 0.0000 0.0000
Sm1 0.0000 0.0000 0.5000
Ho1 0.0000 0.0000 0.2555
Ho2 0.0000 0.3218 0.5000
Ho3 0.0000 0.5000 0.0000

=====

# FeOsRh2, relaxed, DFT PBE
# Mass density in g cm⁻³: 13.58
# ΔH_f (0 K) in eV/atom: 0.08
# Relative energy among the computed polymorphs in eV/atom: 0.070
data_FeOsRh2
_space_group_name_H-M_alt 'R 3 m'
_space_group_IT_number 160
_space_group_name_Hall 'R 3 -2"'
_cell_length_a 2.7110
_cell_length_b 2.7110
_cell_length_c 26.0485
_cell_angle_alpha 90.00
_cell_angle_beta 90.00
_cell_angle_gamma 120.00
loop_
_atom_site_label
_atom_site_fract_x
_atom_site_fract_y
_atom_site_fract_z
Fe1 0.0000 0.0000 0.0000
Os1 0.0000 0.0000 0.2515
Rh1 0.0000 0.0000 0.5014
Rh2 0.0000 0.0000 0.7465

=====

# GdY2Tc, relaxed, DFT PBE
# Mass density in g cm⁻³: 7.15
# ΔH_f (0 K) in eV/atom: 0.22
# Relative energy among the computed polymorphs in eV/atom: 0.177
data_GdY2Tc
_space_group_name_H-M_alt 'R -3 m'
_space_group_IT_number 166
_space_group_name_Hall '-R 3 2"'
_cell_length_a 5.4637
_cell_length_b 5.4637
_cell_length_c 11.6715
_cell_angle_alpha 90.00
_cell_angle_beta 90.00
_cell_angle_gamma 120.00
loop_
_atom_site_label
_atom_site_fract_x
_atom_site_fract_y
_atom_site_fract_z
Gd1 0.0000 0.0000 0.0000
Y1 0.0000 0.0000 0.2647
Tc1 0.0000 0.0000 0.5000

=====

# HoBi2Pb, relaxed, DFT PBE
# Mass density in g cm⁻³: 10.81
# ΔH_f (0 K) in eV/atom: -0.33
# Relative energy among the computed polymorphs in eV/atom: 0.000
data_HoBi2Pb
_space_group_name_H-M_alt 'P 4/m m m'
_space_group_IT_number 123
_space_group_name_Hall '-P 4 2'
_cell_length_a 4.2260
_cell_length_b 4.2260
_cell_length_c 6.7982
_cell_angle_alpha 90.00
_cell_angle_beta 90.00
_cell_angle_gamma 90.00
loop_
_atom_site_label
_atom_site_fract_x
_atom_site_fract_y
_atom_site_fract_z
Ho1 0.0000 0.0000 0.0000
Bi1 0.5000 0.5000 0.2331
Pb1 0.0000 0.0000 0.5000

=====

# BeCo2As, relaxed, DFT PBE
# Mass density in g cm⁻³: 7.50
# ΔH_f (0 K) in eV/atom: -0.04
# Relative energy among the computed polymorphs in eV/atom: 0.145
data_BeCo2As
_space_group_name_H-M_alt 'P 4 m m'
_space_group_IT_number 99
_cell_length_a 3.0031
_cell_length_b 3.0031
_cell_length_c 4.9536
_cell_angle_alpha 90.00
_cell_angle_beta 90.00
_cell_angle_gamma 90.00
loop_
_space_group_symop_operation_xyz
'x,y,z'
'-y,x,z'
'-x,-y,z'
'y,-x,z'
'-x,y,z'
'y,x,z'
'x,-y,z'
'-y,-x,z'
loop_
_atom_site_label
_atom_site_fract_x
_atom_site_fract_y
_atom_site_fract_z
Be1 0.0000 0.0000 0.0000
Co1 0.0000 0.0000 0.4788
Co2 0.5000 0.5000 0.1678
As1 0.5000 0.5000 0.6967

=====

# TeOsPb2, relaxed, DFT PBE
# Mass density in g cm⁻³: 11.48
# E in eV/cell: -19.727
data_TeOsPb2
_space_group_name_H-M_alt 'P 4/m m m'
_space_group_IT_number 123
_space_group_name_Hall '-P 4 2'
_cell_length_a 3.2026
_cell_length_b 3.2026
_cell_length_c 10.3238
_cell_angle_alpha 90.00
_cell_angle_beta 90.00
_cell_angle_gamma 90.00
loop_
_atom_site_label
_atom_site_fract_x
_atom_site_fract_y
_atom_site_fract_z
Te1 0.0000 0.0000 0.0000
Os1 0.0000 0.0000 0.5000
Pb1 0.5000 0.5000 0.3176

=====

# Dy2SnPt4, relaxed, DFT PBE
# Mass density in g cm⁻³: 11.64
# ΔH_f (0 K) in eV/atom: -0.31
data_Dy2SnPt4
_space_group_name_H-M_alt 'I 4/m m m'
_space_group_IT_number 139
_space_group_name_Hall '-I 4 2'
_cell_length_a 4.9222
_cell_length_b 4.9222
_cell_length_c 14.4132
_cell_angle_alpha 90.00
_cell_angle_beta 90.00
_cell_angle_gamma 90.00
loop_
_atom_site_label
_atom_site_fract_x
_atom_site_fract_y
_atom_site_fract_z
Dy1 0.0000 0.0000 0.1326
Sn1 0.0000 0.0000 0.5000
Pt1 0.0000 0.0000 0.3153
Pt2 0.0000 0.5000 0.0000